(1)
{"formula": "Mg2ReSi", "functional": "PBE-GGA", "state": "optimized geometry", "mass_density_g_cm3": 6.9, "m_tot_mub_per_fu": 0.00, "dos_ef_per_ev_atom": 0.40, "total_energy_ev_per_fu": -20.16, "lattice_angstrom": [[5.249, 0.000, 0.000], [0.000, 9.003, 0.000], [-0.621, 0.000, 2.695]], "species": ["Mg", "Mg", "Mg", "Mg", "Re", "Re", "Si", "Si"], "fractional_positions": [[0.250, 0.250, 0.000], [0.250, 0.750, 0.000], [0.750, 0.250, 0.000], [0.750, 0.750, 0.000], [0.000, 0.000, 0.500], [0.500, 0.500, 0.500], [0.000, 0.500, 0.500], [0.500, 0.000, 0.500]]}

---

(2)
{"formula": "DyTm2ThS4", "functional": "PBE-GGA", "state": "optimized geometry", "mass_density_g_cm3": 8.4, "m_tot_mub_per_fu": 0.00, "dos_ef_per_ev_atom": 0.41, "total_energy_ev_per_fu": -52.74, "lattice_angstrom": [[6.757, 0.000, 0.000], [0.000, 3.872, 0.000], [-2.229, 0.000, 6.470]], "species": ["Dy", "Tm", "Tm", "Th", "S", "S", "S", "S"], "fractional_positions": [[0.000, 0.000, 0.000], [0.000, 0.500, 0.500], [0.500, 0.000, 0.500], [0.500, 0.500, 0.000], [0.239, 0.000, 0.734], [0.248, 0.500, 0.261], [0.752, 0.500, 0.739], [0.761, 0.000, 0.266]]}

---

(3)
{"formula": "HgPN2", "functional": "PBE-GGA", "state": "optimized geometry", "mass_density_g_cm3": 9.2, "m_tot_mub_per_fu": 0.00, "dos_ef_per_ev_atom": 0.31, "relative_energy_kj_per_mol_fu": 23, "lattice_angstrom": [[2.797, 0.000, 0.000], [-1.398, 2.422, 0.000], [0.000, 0.000, 20.697]], "species": ["Hg", "Hg", "Hg", "P", "P", "P", "N", "N", "N", "N", "N", "N"], "fractional_positions": [[0.000, 0.000, 0.000], [0.333, 0.667, 0.667], [0.667, 0.333, 0.333], [0.000, 0.000, 0.500], [0.333, 0.667, 0.167], [0.667, 0.333, 0.833], [0.000, 0.000, 0.123], [0.000, 0.000, 0.877], [0.333, 0.667, 0.544], [0.333, 0.667, 0.789], [0.667, 0.333, 0.211], [0.667, 0.333, 0.456]]}

---

(4)
{"formula": "SiNiAs", "functional": "PBE-GGA", "state": "optimized geometry", "mass_density_g_cm3": 6.1, "m_tot_mub_per_fu": 0.00, "dos_ef_per_ev_atom": 0.28, "total_energy_ev_per_fu": -15.96, "lattice_angstrom": [[3.178, 0.000, 0.000], [-1.589, 2.752, 0.000], [0.000, 0.000, 5.026]], "species": ["Si", "Ni", "As"], "fractional_positions": [[0.000, 0.000, 0.000], [0.333, 0.667, 0.711], [0.667, 0.333, 0.387]]}

---

(5)
{"formula": "Li4LaCu", "functional": "PBE-GGA", "state": "optimized geometry", "formation_energy_ev_per_fu": 0.578, "mass_density_g_cm3": 3.3, "m_tot_mub_per_fu": 0.00, "dos_ef_per_ev_atom": 0.47, "lattice_angstrom": [[0.000, 3.854, 3.854], [3.854, 0.000, 3.854], [3.854, 3.854, 0.000]], "species": ["Li", "Li", "Li", "Li", "La", "Cu"], "fractional_positions": [[0.122, 0.122, 0.122], [0.122, 0.122, 0.635], [0.122, 0.635, 0.122], [0.635, 0.122, 0.122], [0.500, 0.500, 0.500], [0.750, 0.750, 0.750]]}

---

(6)
{"formula": "CuTe", "functional": "PBE-GGA", "state": "optimized geometry", "mass_density_g_cm3": 7.7, "m_tot_mub_per_fu": 0.00, "dos_ef_per_ev_atom": 0.55, "total_energy_ev_per_fu": -7.18, "lattice_angstrom": [[3.875, 0.000, 0.000], [0.000, 3.875, 0.000], [0.000, 0.000, 5.503]], "species": ["Cu", "Cu", "Te", "Te"], "fractional_positions": [[0.000, 0.000, 0.000], [0.500, 0.500, 0.500], [0.000, 0.000, 0.500], [0.500, 0.500, 0.000]]}

---

(7)
{"formula": "HWBr6", "functional": "PBE-GGA", "state": "optimized geometry", "mass_density_g_cm3": 4.3, "m_tot_mub_per_fu": 1.00, "dos_ef_per_ev_atom": 0.59, "total_energy_ev_per_fu": -29.27, "lattice_angstrom": [[6.722, 0.000, 0.000], [-3.240, 6.061, 0.000], [-3.058, -2.029, 6.361]], "species": ["H", "W", "Br", "Br", "Br", "Br", "Br", "Br"], "fractional_positions": [[0.000, 0.000, 0.000], [0.500, 0.000, 0.000], [0.041, 0.935, 0.795], [0.344, 0.638, 0.753], [0.371, 0.779, 0.229], [0.629, 0.221, 0.771], [0.656, 0.362, 0.247], [0.959, 0.065, 0.205]]}

---

(8)
{"formula": "CaTiCl2", "functional": "PBE-GGA", "state": "optimized geometry", "mass_density_g_cm3": 3.6, "m_tot_mub_per_fu": 0.00, "dos_ef_per_ev_atom": 0.31, "relative_energy_kj_per_mol_fu": 112, "lattice_angstrom": [[6.656, 0.000, 0.000], [0.000, 6.656, 0.000], [0.000, 0.000, 6.656]], "species": ["Ca", "Ca", "Ca", "Ca", "Ti", "Ti", "Ti", "Ti", "Cl", "Cl", "Cl", "Cl", "Cl", "Cl", "Cl", "Cl"], "fractional_positions": [[0.000, 0.000, 0.000], [0.000, 0.500, 0.500], [0.500, 0.000, 0.500], [0.500, 0.500, 0.000], [0.000, 0.000, 0.500], [0.000, 0.500, 0.000], [0.500, 0.000, 0.000], [0.500, 0.500, 0.500], [0.250, 0.250, 0.250], [0.250, 0.250, 0.750], [0.250, 0.750, 0.250], [0.250, 0.750, 0.750], [0.750, 0.250, 0.250], [0.750, 0.250, 0.750], [0.750, 0.750, 0.250], [0.750, 0.750, 0.750]]}

---

(9)
{"formula": "MgCrPd", "functional": "PBE-GGA", "state": "optimized geometry", "formation_energy_ev_per_fu": 4.051, "mass_density_g_cm3": 3.3, "m_tot_mub_per_fu": 4.34, "dos_ef_per_ev_atom": 0.94, "lattice_angstrom": [[4.751, 0.000, 0.000], [-2.375, 4.114, 0.000], [0.000, 0.000, 9.490]], "species": ["Mg", "Mg", "Cr", "Cr", "Pd", "Pd"], "fractional_positions": [[0.333, 0.667, 0.250], [0.667, 0.333, 0.750], [0.000, 0.000, 0.250], [0.000, 0.000, 0.750], [0.000, 0.000, 0.000], [0.000, 0.000, 0.500]]}

---

(10)
{"formula": "Zn2InTc", "functional": "PBE-GGA", "state": "optimized geometry", "formation_energy_ev_per_fu": 0.900, "mass_density_g_cm3": 8.5, "m_tot_mub_per_fu": 0.07, "dos_ef_per_ev_atom": 0.70, "lattice_angstrom": [[5.682, 0.000, 0.000], [0.000, 9.486, 0.000], [-1.450, 0.000, 2.479]], "species": ["Zn", "Zn", "Zn", "Zn", "In", "In", "Tc", "Tc"], "fractional_positions": [[0.250, 0.250, 0.000], [0.250, 0.750, 0.000], [0.750, 0.250, 0.000], [0.750, 0.750, 0.000], [0.000, 0.000, 0.500], [0.500, 0.500, 0.500], [0.000, 0.500, 0.500], [0.500, 0.000, 0.500]]}

---

(11)
{"formula": "Ti3ZnMo2", "functional": "PBE-GGA", "state": "optimized geometry", "formation_energy_ev_per_fu": -0.893, "mass_density_g_cm3": 7.0, "m_tot_mub_per_fu": 0.00, "dos_ef_per_ev_atom": 1.17, "relative_energy_kj_per_mol_fu": 7, "lattice_angstrom": [[3.226, 0.000, 0.000], [0.000, 3.226, 0.000], [0.000, 0.000, 9.194]], "species": ["Ti", "Ti", "Ti", "Zn", "Mo", "Mo"], "fractional_positions": [[0.000, 0.000, 0.000], [0.000, 0.000, 0.323], [0.000, 0.000, 0.677], [0.500, 0.500, 0.500], [0.500, 0.500, 0.173], [0.500, 0.500, 0.827]]}

---

(12)
{"formula": "NaEu2AlP3", "functional": "PBE-GGA", "state": "optimized geometry", "formation_energy_ev_per_fu": -6.414, "mass_density_g_cm3": 4.6, "m_tot_mub_per_fu": 7.07, "dos_ef_per_ev_atom": 3.14, "lattice_angstrom": [[6.664, -4.440, 0.000], [6.664, 4.440, 0.000], [-3.687, 0.000, 10.802]], "species": ["Na", "Na", "Na", "Na", "Eu", "Eu", "Eu", "Eu", "Eu", "Eu", "Eu", "Eu", "Al", "Al", "Al", "Al", "P", "P", "P", "P", "P", "P", "P", "P", "P", "P", "P", "P"], "fractional_positions": [[0.018, 0.018, 0.758], [0.196, 0.804, 0.000], [0.804, 0.196, 0.000], [0.982, 0.982, 0.242], [0.000, 0.500, 0.000], [0.080, 0.541, 0.680], [0.255, 0.745, 0.500], [0.459, 0.920, 0.320], [0.500, 0.000, 0.000], [0.541, 0.080, 0.680], [0.745, 0.255, 0.500], [0.920, 0.459, 0.320], [0.338, 0.338, 0.268], [0.470, 0.470, 0.116], [0.530, 0.530, 0.884], [0.662, 0.662, 0.732], [0.160, 0.160, 0.495], [0.163, 0.163, 0.131], [0.229, 0.645, 0.229], [0.329, 0.329, 0.481], [0.355, 0.771, 0.771], [0.356, 0.356, 0.899], [0.644, 0.644, 0.101], [0.645, 0.229, 0.229], [0.671, 0.671, 0.519], [0.771, 0.355, 0.771], [0.837, 0.837, 0.869], [0.840, 0.840, 0.505]]}

---

(13)
{"formula": "Pm4ScIn3", "functional": "PBE-GGA", "state": "optimized geometry", "formation_energy_ev_per_fu": -2.701, "mass_density_g_cm3": 7.0, "m_tot_mub_per_fu": 1.30, "dos_ef_per_ev_atom": 1.28, "lattice_angstrom": [[2.721, 1.571, 8.993], [-2.721, 1.571, 8.993], [0.000, -3.142, 8.993]], "species": ["Pm", "Pm", "Pm", "Pm", "Sc", "In", "In", "In"], "fractional_positions": [[0.121, 0.121, 0.121], [0.372, 0.372, 0.372], [0.628, 0.628, 0.628], [0.879, 0.879, 0.879], [0.500, 0.500, 0.500], [0.000, 0.000, 0.000], [0.243, 0.243, 0.243], [0.757, 0.757, 0.757]]}

---

no.,calculated volume (Å³/cell)
1,127.3
2,169.3
3,140.2
4,44.0
5,114.5
6,82.6
7,259.2
8,294.9
9,185.5
10,133.6
11,95.7
12,639.1
13,230.6